Record 1
Density functional theory data (PBE-GGA) for La2Cd4AgIr after structural relaxation.

V ... 23.771 A^3/atom
Crystal system ... orthorhombic
E_form ... -383 meV/atom
Symmetry ... Amm2

Cell lengths 8.506, 5.579, 5.579 Å; angles 45.91, 90.00, 90.00 degrees
Positions (direct):
Ag  0.000  0.223  0.223
Cd  0.302  0.355  0.355
Cd  0.698  0.355  0.355
Cd  0.206  0.642  0.642
Cd  0.794  0.642  0.642
Ir  0.500  0.781  0.781
La  0.500  0.067  0.067
La  0.000  0.934  0.934

Record 2
Density functional theory data (PBE-GGA) for Al3W10 after structural relaxation.

E above lowest polymorph ... 132 meV/atom
V ... 16.714 A^3/atom
Crystal system ... trigonal
Symmetry ... R-3m

Cell lengths 9.648, 9.648, 9.648 Å; angles 31.47, 31.47, 31.47 degrees
Positions (direct):
Al  0.000  0.000  0.000
Al  0.353  0.353  0.353
Al  0.647  0.647  0.647
W  0.587  0.091  0.091
W  0.091  0.587  0.091
W  0.167  0.167  0.167
W  0.909  0.909  0.413
W  0.455  0.455  0.455
W  0.545  0.545  0.545
W  0.091  0.091  0.587
W  0.833  0.833  0.833
W  0.909  0.413  0.909
W  0.413  0.909  0.909

Record 3
Density functional theory data (PBE-GGA) for YTm4Lu2Ni2S2 after structural relaxation.

V ... 22.310 A^3/atom
Crystal system ... orthorhombic
Symmetry ... Imm2
E ... -5.6757 eV/atom

Cell lengths 8.786, 8.786, 8.786 Å; angles 155.56, 67.56, 118.12 degrees
Positions (direct):
Lu  0.415  0.101  0.314
Lu  0.787  0.101  0.686
Ni  0.644  0.404  0.241
Ni  0.163  0.404  0.759
S  0.143  0.143  0.000
S  0.740  0.240  0.500
Tm  0.013  0.893  0.120
Tm  0.103  0.739  0.365
Tm  0.374  0.739  0.635
Tm  0.773  0.893  0.880
Y  0.491  0.491  0.000

Record 4
Density functional theory data (PBE-GGA) for PrNd2Si4Ni2Pd2 after structural relaxation.

V ... 18.800 A^3/atom
Crystal system ... orthorhombic
Symmetry ... Immm
E ... -6.0936 eV/atom

Cell lengths 12.416, 12.416, 12.416 Å; angles 161.04, 160.57, 27.28 degrees
Positions (direct):
Nd  0.653  0.153  0.500
Nd  0.347  0.847  0.500
Ni  0.249  0.249  0.000
Ni  0.751  0.751  0.000
Pd  0.899  0.399  0.500
Pd  0.101  0.601  0.500
Pr  0.000  0.000  0.000
Si  0.451  0.451  0.000
Si  0.549  0.549  0.000
Si  0.796  0.296  0.500
Si  0.204  0.704  0.500

Record 5
Density functional theory data (PBE-GGA) for Y3Mg3ZnAg2 after structural relaxation.

V ... 23.425 A^3/atom
Crystal system ... hexagonal
Symmetry ... P-62m
E ... -3.7286 eV/atom

Cell lengths 7.671, 7.671, 4.137 Å; angles 90.00, 90.00, 120.00 degrees
Positions (direct):
Ag  0.667  0.333  0.500
Ag  0.333  0.667  0.500
Mg  0.244  0.000  0.500
Mg  0.000  0.244  0.500
Mg  0.756  0.756  0.500
Y  0.590  0.000  0.000
Y  0.410  0.410  0.000
Y  0.000  0.590  0.000
Zn  0.000  0.000  0.000

Record 6
Density functional theory data (PBE-GGA) for Sm4N2Cl5 after structural relaxation.

V ... 21.344 A^3/atom
Crystal system ... orthorhombic
Symmetry ... Immm
E ... -5.7775 eV/atom

Cell lengths 9.409, 9.409, 9.409 Å; angles 158.11, 130.63, 54.62 degrees
Positions (direct):
Cl  0.547  0.334  0.213
Cl  0.879  0.666  0.213
Cl  0.500  0.000  0.500
Cl  0.121  0.334  0.787
Cl  0.453  0.666  0.787
N  0.042  0.042  0.000
N  0.958  0.958  0.000
Sm  0.179  0.179  0.000
Sm  0.821  0.821  0.000
Sm  0.794  0.500  0.294
Sm  0.206  0.500  0.706

Record 7
Density functional theory data (PBE-GGA) for Ta2Os3Pb2 after structural relaxation.

V ... 18.766 A^3/atom
Crystal system ... trigonal
Symmetry ... R3m
E ... -8.9427 eV/atom

Cell lengths 7.794, 7.794, 7.794 Å; angles 33.91, 33.91, 33.91 degrees
Positions (direct):
Os  0.371  0.371  0.371
Os  0.624  0.624  0.624
Os  0.877  0.877  0.877
Pb  0.010  0.010  0.010
Pb  0.494  0.494  0.494
Ta  0.247  0.247  0.247
Ta  0.752  0.752  0.752

Record 8
Density functional theory data (PBE-GGA) for TbGdCl2O2 after structural relaxation.

V ... 17.119 A^3/atom
Crystal system ... tetragonal
Symmetry ... P4mm
E ... -6.8926 eV/atom

Cell lengths 3.915, 3.915, 6.702 Å; angles 90.00, 90.00, 90.00 degrees
Positions (direct):
Cl  0.500  0.500  0.373
Cl  0.000  0.000  0.627
Gd  0.000  0.000  0.172
O  0.500  0.000  0.999
O  0.000  0.500  0.999
Tb  0.500  0.500  0.830